SiTc2: relaxed, PBE.

The structure belongs to space group Fd-3m (No. 227, origin choice 2); the cell edges are 7.200, 7.200 and 7.200 Å and the angles 90.00°, 90.00° and 90.00°. The asymmetric unit holds Si at (0.125, 0.125, 0.125) and Tc at (0.000, 0.000, 0.500).

As for the energy: -8.196 eV/atom. The value obtained for the spin magnetization is 0.0 μB/f.u.